Below is crystalline MnSb2TeO at its relaxed geometry, with properties calculated at the PBE with a Hubbard U level.

Computed properties:
Final energy ... -4.665 eV/atom

Cell lengths 4.707, 4.707, 5.058 Å; angles 90.00, 90.00, 90.00 degrees
Each line ends with the local moment (μB).
Positions (direct):
Sb1 0.000 0.500 0.000  -0.04
Sb2 0.500 0.000 0.000  -0.04
Te1 0.000 0.000 0.500  -0.01
O1 0.000 0.000 0.000  -0.01
Mn1 0.500 0.500 0.500  4.59